# Li3Pr2Cu12Rh

A relaxed structure of Li3Pr2Cu12Rh (PBE, the Alexandria database).

Geometry as POSCAR:
```
Li3Pr2Cu12Rh
1.0
2.925 1.689 9.728
-2.925 1.689 9.728
0.000 -3.377 9.728
Li Pr Cu Rh
3 2 12 1
Cartesian
-1.462 -0.844 9.728
-1.462 0.844 19.456
0.000 1.689 9.728
0.000 0.000 4.234
0.000 0.000 24.950
0.000 -2.008 8.322
-1.739 1.004 8.322
-1.304 -0.753 12.559
-1.739 -1.004 20.862
0.000 -1.506 16.625
-1.304 0.753 16.625
1.304 -0.753 12.559
0.000 1.506 12.559
1.739 1.004 8.322
1.304 0.753 16.625
1.739 -1.004 20.862
0.000 2.008 20.862
0.000 0.000 14.592
```

Output
Space-group type = No. 166
Total magnetization = 0.00 μB per formula unit
Energy of formation from the pure elements = 0.1105 eV per atom
Density of states at the Fermi level = 6.077 states/eV/f.u.